LiNiBr2 | SCAN | single point on PBEsol structure

Lattice parameters (Å, degrees): 3.477 3.477 7.531 103.35 103.35 90.00
Each line ends with the local moment (μB).
Fractional coordinates of all 4 atoms:
Br1 0.000 0.000 0.000  0.00
Ni1 0.250 0.750 0.500  0.92
Br2 0.750 0.250 0.500  0.07
Li1 0.500 0.500 0.000  0.00

Results
The raw total energy comes out at -15.048 eV per atom. The polymorph energy (0 for the lowest one) is 79.1 meV/atom. The density of states at the Fermi level comes out at 0.3 states/eV per cell. Its space group is I-4m2.

---

LiNiBr2 | SCAN | single point on PBEsol structure

Lattice parameters (Å, degrees): 3.509 3.515 6.806 89.92 104.94 90.00
Each line ends with the local moment (μB).
Fractional coordinates of all 4 atoms:
Ni1 0.805 0.879 0.609  0.93
Li1 0.449 0.373 0.899  0.00
Br1 0.255 0.376 0.510  0.07
Br2 0.991 0.872 0.982  0.00

Results
The raw total energy comes out at -15.124 eV per atom. The polymorph energy (0 for the lowest one) is 4.0 meV/atom. The density of states at the Fermi level comes out at 0.4 states/eV per cell. Its space group is Cm.

---

Li2NiBr | SCAN | single point on PBEsol structure

Lattice parameters (Å, degrees): 3.349 3.349 5.480 90.00 90.00 90.00
Each line ends with the local moment (μB).
Fractional coordinates of all 4 atoms:
Ni1 0.000 0.000 0.460  0.87
Br1 0.500 0.500 0.776  0.01
Li1 0.500 0.500 0.280  0.00
Li2 0.000 0.000 0.984  0.00

Results
The raw total energy comes out at -10.327 eV per atom. The density of states at the Fermi level comes out at 1.1 states/eV per cell. Its space group is P4mm.